# 1
Entry from Alexandria via LeMat-Bulk: a geometry-optimized ZrScCoNi structure (PBE).

Unit cell a=4.4955 b=4.4955 c=4.4955 alpha=60.00 beta=60.00 gamma=60.00
Atoms (fractional coordinates):
1 Zr 0.0000 0.0000 0.0000
2 Sc 0.5000 0.5000 0.5000
3 Co 0.2500 0.2500 0.2500
4 Ni 0.7500 0.7500 0.7500

Properties
SG: F-43m
Formation energy, kJ per mole of atoms: -36.8
Total magnetization, μB per formula unit: 0.5

=====

# 2
Entry from Alexandria via LeMat-Bulk: a geometry-optimized CoNi2Se4 structure (PBE).

Unit cell a=6.6155 b=6.6155 c=6.6155 alpha=137.72 beta=137.72 gamma=61.34
Atoms (fractional coordinates):
1 Co 0.0000 0.0000 0.0000
2 Ni 0.3973 0.3973 0.0000
3 Ni 0.6027 0.6027 0.0000
4 Se 0.0000 0.5000 0.5000
5 Se 0.2045 0.2045 0.0000
6 Se 0.5000 0.0000 0.5000
7 Se 0.7955 0.7955 0.0000

Properties
SG: I4/mmm
Uncorrected formation energy, eV per atom: 0.249
Total magnetization, μB per formula unit: 0.0

=====

# 3
Entry from Alexandria via LeMat-Bulk: a geometry-optimized CoNiSe2 structure (PBE).

Unit cell a=3.7113 b=3.7112 c=5.6244 alpha=90.00 beta=90.15 gamma=90.00
Atoms (fractional coordinates):
1 Co 0.0000 0.0000 0.0000
2 Ni 0.4994 0.5000 0.0001
3 Se 0.0006 0.5000 0.2558
4 Se 0.4991 0.0000 0.7443

Properties
Energy relative to the lowest polymorph listed for this composition, meV/atom: 0.0
SG: Pm
Uncorrected formation energy, eV per atom: -0.255
Total magnetization, μB per formula unit: 2.0

=====

# 4
Entry from Alexandria via LeMat-Bulk: a geometry-optimized Co5NiSe12 structure (PBE).

Unit cell a=6.0453 b=6.0453 c=10.7905 alpha=90.12 beta=90.12 gamma=119.24
Atoms (fractional coordinates):
1 Co 0.0000 0.0000 0.0000
2 Co 0.1682 0.8318 0.5000
3 Co 0.3321 0.6679 0.0000
4 Co 0.6679 0.3321 0.0000
5 Co 0.8318 0.1682 0.5000
6 Ni 0.5000 0.5000 0.5000
7 Se 0.0045 0.3380 0.1159
8 Se 0.1598 0.4967 0.6165
9 Se 0.1662 0.1662 0.3857
10 Se 0.3299 0.3299 0.8855
11 Se 0.3380 0.0045 0.1159
12 Se 0.4967 0.1598 0.6165
13 Se 0.5033 0.8402 0.3835
14 Se 0.6620 0.9955 0.8841
15 Se 0.6701 0.6701 0.1145
16 Se 0.8338 0.8338 0.6143
17 Se 0.8402 0.5033 0.3835
18 Se 0.9955 0.6620 0.8841

Properties
SG: C2/m
Uncorrected formation energy, eV per atom: -0.272
Total magnetization, μB per formula unit: 0.0

=====

# 5
Entry from Alexandria via LeMat-Bulk: a geometry-optimized Co3NiSe structure (PBE).

Unit cell a=4.2795 b=4.2795 c=4.2795 alpha=90.00 beta=90.00 gamma=90.00
Atoms (fractional coordinates):
1 Co 0.0000 0.0000 0.5000
2 Co 0.0000 0.5000 0.0000
3 Co 0.5000 0.0000 0.0000
4 Ni 0.5000 0.5000 0.5000
5 Se 0.0000 0.0000 0.0000

Properties
Energy relative to the lowest polymorph listed for this composition, meV/atom: 0.0
SG: Pm-3m
Uncorrected formation energy, eV per atom: 0.887
Total magnetization, μB per formula unit: 4.8

=====

# 6
Entry from Alexandria via LeMat-Bulk: a geometry-optimized CoNiSe2 structure (PBE).

Unit cell a=3.6630 b=3.6630 c=5.1970 alpha=90.00 beta=90.00 gamma=120.00
Atoms (fractional coordinates):
1 Co 0.0000 0.0000 0.0000
2 Ni 0.0000 0.0000 0.5000
3 Se 0.3333 0.6667 0.7624
4 Se 0.6667 0.3333 0.2376

Properties
Energy relative to the lowest polymorph listed for this composition, meV/atom: 63.7
SG: P-3m1
Uncorrected formation energy, eV per atom: -0.191
Total magnetization, μB per formula unit: 0.0

=====

# 7
Entry from Alexandria via LeMat-Bulk: a geometry-optimized CoNiSe2 structure (PBE).

Unit cell a=3.2306 b=3.2306 c=6.7635 alpha=90.00 beta=90.00 gamma=90.00
Atoms (fractional coordinates):
1 Co 0.0000 0.0000 0.0000
2 Ni 0.5000 0.5000 0.2116
3 Se 0.0000 0.0000 0.3430
4 Se 0.5000 0.5000 0.8646

Properties
Energy relative to the lowest polymorph listed for this composition, meV/atom: 63.2
SG: P4mm
Uncorrected formation energy, eV per atom: -0.192
Total magnetization, μB per formula unit: 0.0

=====

# 8
Entry from Alexandria via LeMat-Bulk: a geometry-optimized CoNi2Se3 structure (PBE).

Unit cell a=6.3440 b=6.3440 c=11.8185 alpha=99.92 beta=99.92 gamma=107.03
Atoms (fractional coordinates):
1 Co 0.0916 0.5494 0.1947
2 Co 0.1598 0.1598 0.3097
3 Co 0.4506 0.9084 0.8053
4 Co 0.8402 0.8402 0.6903
5 Ni 0.0265 0.9735 0.0000
6 Ni 0.2710 0.7290 0.5000
7 Ni 0.3796 0.2525 0.6586
8 Ni 0.5042 0.4958 0.0000
9 Ni 0.6173 0.0267 0.1601
10 Ni 0.7475 0.6204 0.3414
11 Ni 0.7635 0.2365 0.5000
12 Ni 0.9733 0.3826 0.8399
13 Se 0.0864 0.7671 0.8330
14 Se 0.1443 0.3637 0.0243
15 Se 0.2329 0.9136 0.1670
16 Se 0.3617 0.5342 0.3418
17 Se 0.3738 0.0929 0.4689
18 Se 0.4658 0.6383 0.6582
19 Se 0.5916 0.2907 0.8439
20 Se 0.6363 0.8557 0.9757
21 Se 0.7093 0.4084 0.1561
22 Se 0.8086 0.0008 0.3382
23 Se 0.9071 0.6262 0.5311
24 Se 0.9992 0.1914 0.6618

Properties
SG: C2
Uncorrected formation energy, eV per atom: -0.174
Total magnetization, μB per formula unit: 0.0

=====

# 9
Entry from Alexandria via LeMat-Bulk: a geometry-optimized CoNiSe structure (PBE).

Unit cell a=4.1588 b=4.1588 c=7.3622 alpha=103.00 beta=103.00 gamma=51.71
Atoms (fractional coordinates):
1 Co 0.0812 0.0812 0.1702
2 Co 0.9188 0.9188 0.8298
3 Ni 0.3639 0.3639 0.0585
4 Ni 0.6361 0.6361 0.9415
5 Se 0.2026 0.2026 0.7225
6 Se 0.7974 0.7974 0.2775

Properties
Energy relative to the lowest polymorph listed for this composition, meV/atom: 0.0
SG: C2/m
Uncorrected formation energy, eV per atom: -0.021
Total magnetization, μB per formula unit: 1.7

=====

# 10
Entry from Alexandria via LeMat-Bulk: a geometry-optimized CoNiSe2 structure (PBE).

Unit cell a=7.3735 b=7.3735 c=7.3735 alpha=26.90 beta=26.90 gamma=26.90
Atoms (fractional coordinates):
1 Co 0.0000 0.0000 0.0000
2 Ni 0.5000 0.5000 0.5000
3 Se 0.3942 0.3942 0.3942
4 Se 0.6058 0.6058 0.6058

Properties
Energy relative to the lowest polymorph listed for this composition, meV/atom: 249.2
SG: R-3m
Uncorrected formation energy, eV per atom: -0.006
Total magnetization, μB per formula unit: 0.7

=====

# 11
Entry from Alexandria via LeMat-Bulk: a geometry-optimized CoNiSe2 structure (PBE).

Unit cell a=6.6805 b=6.6805 c=6.6805 alpha=30.97 beta=30.97 gamma=30.97
Atoms (fractional coordinates):
1 Co 0.0000 0.0000 0.0000
2 Ni 0.2573 0.2573 0.2573
3 Se 0.5391 0.5391 0.5391
4 Se 0.7187 0.7187 0.7187

Properties
Energy relative to the lowest polymorph listed for this composition, meV/atom: 160.8
SG: R3m
Uncorrected formation energy, eV per atom: -0.094
Total magnetization, μB per formula unit: 0.0

=====

# 12
Entry from Alexandria via LeMat-Bulk: a geometry-optimized CoNiSe2 structure (PBE).

Unit cell a=4.8138 b=4.8138 c=2.8364 alpha=90.21 beta=90.21 gamma=90.21
Atoms (fractional coordinates):
1 Co 0.0000 0.0000 0.0000
2 Ni 0.5000 0.5000 0.0000
3 Se 0.0000 0.5000 0.0000
4 Se 0.5000 0.0000 0.0000

Properties
Energy relative to the lowest polymorph listed for this composition, meV/atom: 473.0
SG: C2/m
Uncorrected formation energy, eV per atom: 0.218
Total magnetization, μB per formula unit: 1.4

=====

Question: Which value of total magnetization does entry 9 give?
Answer: 1.7 μB per formula unit

=====

Question: Which of these has the highest total magnetization?
Answer: Co3NiSe